Entry 1:
Material: InNiB4
Method: DFT, PBE
State: optimized geometry

Structure (POSCAR):
```
InNiB4
1.0
-1.524 2.653 3.617
1.524 -2.653 3.617
1.524 2.653 -3.617
B In Ni
4 1 1
Direct
0.591 0.255 0.336
0.080 0.745 0.336
0.920 0.255 0.664
0.409 0.745 0.664
0.500 0.500 0.000
0.000 0.000 0.000
```

Output
* space group: Immm
* energy relative to the lowest polymorph listed for this composition: 85 meV per atom

Entry 2:
Material: In2NiB
Method: DFT, PBE
State: optimized geometry

Structure (POSCAR):
```
In2NiB
1.0
-0.102 -3.657 2.498
3.658 -1.347 2.106
0.262 0.323 4.410
B In Ni
1 2 1
Direct
0.250 0.250 0.250
0.500 0.500 0.500
0.750 0.750 0.750
0.000 0.000 0.000
```

Output
* space group: F-43m
* E: -3.382 eV/atom

Entry 3:
Material: Ta3In3B2O12
Method: DFT, PBE
State: optimized geometry

Structure (POSCAR):
```
Ta3In3B2O12
1.0
-7.399 1.846 -4.503
-0.299 -0.988 8.795
0.682 3.843 0.455
B In O Ta
2 3 12 3
Direct
0.667 0.333 0.000
0.333 0.667 0.000
0.402 0.000 0.500
0.000 0.402 0.500
0.598 0.598 0.500
0.178 0.000 0.000
0.000 0.178 0.000
0.687 0.189 0.000
0.503 0.313 0.000
0.811 0.497 0.000
0.313 0.503 0.000
0.189 0.687 0.000
0.497 0.811 0.000
0.822 0.822 0.000
0.738 0.000 0.500
0.262 0.262 0.500
0.000 0.738 0.500
0.752 0.000 0.000
0.248 0.248 0.000
0.000 0.752 0.000
```

Output
* space group: P-62m
* E: -8.074 eV/atom